Record 1
First-principles (PBE) data for an optimized crystal structure of YHgB, as listed in the Alexandria database.

Results
energy above the most stable polymorph in this dataset	2.092	eV/f.u.
Fermi-level density of states	6.63	states/eV per cell
calculated volume	20.4	A^3/atom
uncorrected energy	-4.20	eV per atom
calculated formation energy	0.277	eV per atom

a = 6.1805 Å, b = 3.3852 Å, c = 11.7193 Å
α = 90.00°, β = 90.00°, γ = 90.00°
Closest atoms and distances in Å follow each position.
Sites, in units of the cell vectors:
Y  0.1837  0.2500  0.1391  4 B 2.63-2.68
Y  0.3163  0.7500  0.6391  4 B 2.63-2.68
Y  0.6837  0.2500  0.3609  4 B 2.63-2.68
Y  0.8163  0.7500  0.8609  4 B 2.63-2.68
Hg  0.1860  0.2500  0.4133  2 B 2.73
Hg  0.3140  0.7500  0.9133  2 B 2.73
Hg  0.6860  0.2500  0.0867  2 B 2.73
Hg  0.8140  0.7500  0.5867  2 B 2.73
B  0.0282  0.2500  0.7300  4 Y 2.63-2.68, 2 Hg 2.73
B  0.4718  0.7500  0.2300  4 Y 2.63-2.68, 2 Hg 2.73
B  0.5282  0.2500  0.7700  4 Y 2.63-2.68, 2 Hg 2.73
B  0.9718  0.7500  0.2700  4 Y 2.63-2.68, 2 Hg 2.73

---

Record 2
First-principles (PBE) data for an optimized crystal structure of YHgB, as listed in the Alexandria database.

Results
energy above the most stable polymorph in this dataset	1.024	eV/f.u.
Fermi-level density of states	2.34	states/eV per cell
calculated volume	20.3	A^3/atom
uncorrected energy	-4.56	eV per atom
calculated formation energy	-0.079	eV per atom

a = 4.3215 Å, b = 5.0792 Å, c = 5.6932 Å
α = 94.20°, β = 102.22°, γ = 91.25°
Closest atoms and distances in Å follow each position.
Sites, in units of the cell vectors:
Y  0.0000  0.0000  0.0000  3 B 2.54-2.74
Y  0.2070  0.5357  0.5292  3 B 2.56-2.82
Hg  0.5657  0.5185  0.1123  3 B 2.19-2.42
Hg  0.6499  0.0513  0.4529  1 B 2.43
B  0.0508  0.5013  0.9836  1 B 1.60
B  0.7727  0.4232  0.7543  1 B 1.60